# V2ReF

A relaxed structure of V2ReF (GGA+U, the Alexandria database).

Properties
For the offset from the most stable computed form, the calculation gives 257 meV/atom. Its space-group type is Fm-3m.

a = 4.3819 Å, b = 4.3819 Å, c = 4.3819 Å
α = 60.00°, β = 60.00°, γ = 60.00°
Atoms (fractional coordinates):
V  0.2500  0.2500  0.2500
V  0.7500  0.7500  0.7500
Re  0.0000  0.0000  0.0000
F  0.5000  0.5000  0.5000